1.
An optimized crystal structure of KWSeBr2, computed with PBEsol.

The final energy comes out at -3.0243 eV per atom.

It has space group P4/mmm (No. 123), with a = 5.5366 Å, b = 5.5366 Å, c = 5.6253 Å, α = 90.00°, β = 90.00° and γ = 90.00°. The inequivalent atoms are K at (0.0000, 0.0000, 0.0000), W at (0.5000, 0.5000, 0.5000), Se at (0.0000, 0.0000, 0.5000) and Br at (0.0000, 0.5000, 0.0000).

---

2.
An optimized crystal structure of Ba3NiSn, computed with PBEsol.

The formation enthalpy at 0 K is 0.52 eV/atom. The final energy comes out at -2.8573 eV per atom.

It has space group Pm-3m (No. 221), with a = 6.5248 Å, b = 6.5248 Å, c = 6.5248 Å, α = 90.00°, β = 90.00° and γ = 90.00°. The inequivalent atoms are Ba at (0.0000, 0.0000, 0.5000), Ni at (0.5000, 0.5000, 0.5000) and Sn at (0.0000, 0.0000, 0.0000).

---

3.
An optimized crystal structure of Zn3CdSn, computed with PBEsol.

The formation enthalpy at 0 K is 0.57 eV/atom. For the distance to the lowest polymorph of the same formula, the calculation gives 0 meV per atom. The final energy comes out at -1.4691 eV per atom.

It has space group Pm-3m (No. 221), with a = 5.1191 Å, b = 5.1191 Å, c = 5.1191 Å, α = 90.00°, β = 90.00° and γ = 90.00°. The inequivalent atoms are Zn at (0.0000, 0.0000, 0.5000), Cd at (0.5000, 0.5000, 0.5000) and Sn at (0.0000, 0.0000, 0.0000).

---

4.
An optimized crystal structure of Th3Bi4, computed with PBEsol.

The formation enthalpy at 0 K is -0.66 eV/atom. The final energy comes out at -6.5830 eV per atom.

It has space group I-43d (No. 220), with a = 9.5389 Å, b = 9.5389 Å, c = 9.5389 Å, α = 90.00°, β = 90.00° and γ = 90.00°. The inequivalent atoms are Th at (0.0000, 0.2500, 0.3750) and Bi at (0.0799, 0.0799, 0.0799).

---

5.
An optimized crystal structure of BePt2Rh, computed with PBEsol.

The formation enthalpy at 0 K is -0.24 eV/atom. The final energy comes out at -6.7571 eV per atom.

It has space group R3m (No. 160, hexagonal axes), with a = 2.7012 Å, b = 2.7012 Å, c = 24.8180 Å, α = 90.00°, β = 90.00° and γ = 120.00°. The inequivalent atoms are Be at (0.0000, 0.0000, 0.0000), Pt at (0.0000, 0.0000, 0.5035), Pt at (0.0000, 0.0000, 0.7393) and Rh at (0.0000, 0.0000, 0.2626).

---

6.
An optimized crystal structure of BaCo2Pb, computed with PBEsol.

The formation enthalpy at 0 K is 0.73 eV/atom. For the distance to the lowest polymorph of the same formula, the calculation gives 160 meV per atom. The final energy comes out at -4.6778 eV per atom.

It has space group P4/mmm (No. 123), with a = 4.8419 Å, b = 4.8419 Å, c = 3.3903 Å, α = 90.00°, β = 90.00° and γ = 90.00°. The inequivalent atoms are Ba at (0.0000, 0.0000, 0.0000), Co at (0.0000, 0.5000, 0.5000) and Pb at (0.5000, 0.5000, 0.0000).

---

7.
An optimized crystal structure of LiSb2MoRh, computed with PBEsol.

The final energy comes out at -5.5435 eV per atom.

It has space group P4/mmm (No. 123), with a = 4.9848 Å, b = 4.9848 Å, c = 4.2822 Å, α = 90.00°, β = 90.00° and γ = 90.00°. The inequivalent atoms are Li at (0.0000, 0.0000, 0.0000), Sb at (0.0000, 0.5000, 0.5000), Mo at (0.5000, 0.5000, 0.0000) and Rh at (0.0000, 0.0000, 0.5000).

---

8.
An optimized crystal structure of Ba4HfO6, computed with PBEsol.

The final energy comes out at -7.4775 eV per atom.

It has space group R-3c (No. 167, hexagonal axes), with a = 10.3437 Å, b = 10.3437 Å, c = 12.8560 Å, α = 90.00°, β = 90.00° and γ = 120.00°. The inequivalent atoms are Ba at (0.0000, 0.0000, 0.2500), Ba at (0.0000, 0.3618, 0.2500), Hf at (0.0000, 0.0000, 0.0000) and O at (0.0215, 0.1757, 0.4044).

---

9.
An optimized crystal structure of MnBeMo3, computed with PBEsol.

The formation enthalpy at 0 K is 1.39 eV/atom. The final energy comes out at -8.4237 eV per atom.

It has space group Pm-3m (No. 221), with a = 4.3640 Å, b = 4.3640 Å, c = 4.3640 Å, α = 90.00°, β = 90.00° and γ = 90.00°. The inequivalent atoms are Mn at (0.0000, 0.0000, 0.0000), Be at (0.5000, 0.5000, 0.5000) and Mo at (0.0000, 0.0000, 0.5000).

---

10.
An optimized crystal structure of LiP2Rh, computed with PBEsol.

The formation enthalpy at 0 K is -0.10 eV/atom. For the distance to the lowest polymorph of the same formula, the calculation gives 355 meV per atom. The final energy comes out at -5.5237 eV per atom.

It has space group F-43m (No. 216), with a = 5.8493 Å, b = 5.8493 Å, c = 5.8493 Å, α = 90.00°, β = 90.00° and γ = 90.00°. The inequivalent atoms are Li at (0.0000, 0.0000, 0.0000), P at (0.0000, 0.0000, 0.5000), P at (0.2500, 0.2500, 0.2500) and Rh at (0.2500, 0.2500, 0.7500).

---

11.
An optimized crystal structure of GeSbS3, computed with PBEsol.

The final energy comes out at -4.0808 eV per atom.

It has space group Pm-3m (No. 221), with a = 4.9289 Å, b = 4.9289 Å, c = 4.9289 Å, α = 90.00°, β = 90.00° and γ = 90.00°. The inequivalent atoms are Ge at (0.0000, 0.0000, 0.0000), Sb at (0.5000, 0.5000, 0.5000) and S at (0.0000, 0.5000, 0.5000).

---

12.
An optimized crystal structure of LaHgMo2, computed with PBEsol.

The formation enthalpy at 0 K is 0.37 eV/atom. The final energy comes out at -6.9946 eV per atom.

It has space group R3m (No. 160, hexagonal axes), with a = 3.1689 Å, b = 3.1689 Å, c = 28.4713 Å, α = 90.00°, β = 90.00° and γ = 120.00°. The inequivalent atoms are La at (0.0000, 0.0000, 0.0000), Hg at (0.0000, 0.0000, 0.7676), Mo at (0.0000, 0.0000, 0.2434) and Mo at (0.0000, 0.0000, 0.5172).

---

13.
An optimized crystal structure of NaNb2Se, computed with PBEsol.

The final energy comes out at -6.3637 eV per atom.

It has space group I-42d (No. 122), with a = 3.8663 Å, b = 3.8663 Å, c = 20.3172 Å, α = 90.00°, β = 90.00° and γ = 90.00°. The inequivalent atoms are Na at (0.0000, 0.0000, 0.0000), Nb at (0.2243, 0.2500, 0.6250) and Se at (0.0000, 0.0000, 0.5000).

---

14.
An optimized crystal structure of HfCr3Sb, computed with PBEsol.

The final energy comes out at -7.4764 eV per atom.

It has space group Pm-3m (No. 221), with a = 4.7031 Å, b = 4.7031 Å, c = 4.7031 Å, α = 90.00°, β = 90.00° and γ = 90.00°. The inequivalent atoms are Hf at (0.0000, 0.0000, 0.0000), Cr at (0.0000, 0.0000, 0.5000) and Sb at (0.5000, 0.5000, 0.5000).

---

15.
An optimized crystal structure of MgAlNi2, computed with PBEsol.

The formation enthalpy at 0 K is -0.20 eV/atom. The final energy comes out at -4.7297 eV per atom.

It has space group Pmm2 (No. 25), with a = 2.6858 Å, b = 3.7032 Å, c = 5.1911 Å, α = 90.00°, β = 90.00° and γ = 90.00°. The inequivalent atoms are Mg at (0.0000, 0.0000, 0.0000), Al at (0.5000, 0.5000, 0.6717), Ni at (0.0000, 0.0000, 0.4886) and Ni at (0.5000, 0.5000, 0.2136).

---

16.
An optimized crystal structure of Sc2ZnCo, computed with PBEsol.

The formation enthalpy at 0 K is -0.38 eV/atom. The final energy comes out at -6.0092 eV per atom.

It has space group P4/mmm (No. 123), with a = 3.1444 Å, b = 3.1444 Å, c = 6.5604 Å, α = 90.00°, β = 90.00° and γ = 90.00°. The inequivalent atoms are Sc at (0.0000, 0.0000, 0.2289), Zn at (0.5000, 0.5000, 0.5000) and Co at (0.5000, 0.5000, 0.0000).

---

17.
An optimized crystal structure of V2ReOs, computed with PBEsol.

The formation enthalpy at 0 K is -0.32 eV/atom. The final energy comes out at -11.5200 eV per atom.

It has space group Fm-3m (No. 225), with a = 5.9948 Å, b = 5.9948 Å, c = 5.9948 Å, α = 90.00°, β = 90.00° and γ = 90.00°. The inequivalent atoms are V at (0.2500, 0.2500, 0.2500), Re at (0.0000, 0.0000, 0.0000) and Os at (0.0000, 0.0000, 0.5000).

---

18.
An optimized crystal structure of Na3YS, computed with PBEsol.

The final energy comes out at -3.0940 eV per atom.

It has space group Pm-3m (No. 221), with a = 5.3535 Å, b = 5.3535 Å, c = 5.3535 Å, α = 90.00°, β = 90.00° and γ = 90.00°. The inequivalent atoms are Na at (0.0000, 0.0000, 0.5000), Y at (0.5000, 0.5000, 0.5000) and S at (0.0000, 0.0000, 0.0000).

---

19.
An optimized crystal structure of Ta3BeRu, computed with PBEsol.

The formation enthalpy at 0 K is 1.46 eV/atom. The final energy comes out at -8.9049 eV per atom.

It has space group Pm-3m (No. 221), with a = 4.7039 Å, b = 4.7039 Å, c = 4.7039 Å, α = 90.00°, β = 90.00° and γ = 90.00°. The inequivalent atoms are Ta at (0.0000, 0.0000, 0.5000), Be at (0.5000, 0.5000, 0.5000) and Ru at (0.0000, 0.0000, 0.0000).

---

20.
An optimized crystal structure of Ca3TeN, computed with PBEsol.

The final energy comes out at -4.8116 eV per atom.

It has space group Pm-3m (No. 221), with a = 4.8146 Å, b = 4.8146 Å, c = 4.8146 Å, α = 90.00°, β = 90.00° and γ = 90.00°. The inequivalent atoms are Ca at (0.0000, 0.0000, 0.5000), Te at (0.5000, 0.5000, 0.5000) and N at (0.0000, 0.0000, 0.0000).